No. 1
A plane-wave DFT calculation with PBE was carried out for Sr2AlZn4Ag3 after structural relaxation.

POSCAR file:
```
Sr2AlZn4Ag3
1.0
4.431 0.000 0.000
0.000 4.431 0.000
0.000 0.000 11.272
Sr Al Zn Ag
2 1 4 3
Direct
0.000 0.500 0.247 Sr
0.500 0.000 0.753 Sr
0.500 0.500 0.000 Al
0.000 0.000 0.500 Zn
0.000 0.500 0.870 Zn
0.500 0.000 0.130 Zn
0.500 0.500 0.500 Zn
0.000 0.000 0.000 Ag
0.000 0.500 0.635 Ag
0.500 0.000 0.365 Ag
```

Computed properties:
symmetry	P-4m2, No. 115
magnetization	0.00	μB/f.u.
electronic total energy	-2.287	eV per atom
volume	221	Å³/f.u.


No. 2
A plane-wave DFT calculation with PBE was carried out for Sr2Al3Zn4Ag after structural relaxation.

POSCAR file:
```
Sr2Al3Zn4Ag
1.0
4.499 0.000 0.000
0.000 4.499 0.000
0.000 0.000 10.637
Sr Al Zn Ag
2 3 4 1
Direct
0.000 0.500 0.247 Sr
0.500 0.000 0.753 Sr
0.000 0.500 0.872 Al
0.500 0.000 0.128 Al
0.500 0.500 0.500 Al
0.000 0.000 0.000 Zn
0.000 0.500 0.631 Zn
0.500 0.000 0.369 Zn
0.500 0.500 0.000 Zn
0.000 0.000 0.500 Ag
```

Computed properties:
symmetry	P-4m2, No. 115
magnetization	0.00	μB/f.u.
electronic total energy	-2.473	eV per atom
volume	215	Å³/f.u.


No. 3
A plane-wave DFT calculation with PBE was carried out for Sr2AlZn6Ag after structural relaxation.

POSCAR file:
```
Sr2AlZn6Ag
1.0
6.566 -2.581 0.000
6.566 2.581 0.000
-6.390 0.000 6.597
Sr Al Zn Ag
2 1 6 1
Direct
0.248 0.248 0.198 Sr
0.752 0.752 0.802 Sr
0.000 0.000 0.500 Al
0.235 0.730 0.728 Zn
0.250 0.250 0.577 Zn
0.270 0.765 0.272 Zn
0.730 0.235 0.728 Zn
0.750 0.750 0.423 Zn
0.765 0.270 0.272 Zn
0.500 0.500 0.000 Ag
```

Computed properties:
symmetry	C2/m, No. 12
magnetization	0.00	μB/f.u.
electronic total energy	-1.928	eV per atom
volume	224	Å³/f.u.


No. 4
A plane-wave DFT calculation with PBE was carried out for SrAl2ZnAg2 after structural relaxation.

POSCAR file:
```
SrAl2ZnAg2
1.0
4.787 0.000 0.000
0.000 4.787 0.000
0.000 0.000 6.035
Sr Al Zn Ag
1 2 1 2
Direct
0.000 0.000 0.000 Sr
0.000 0.500 0.500 Al
0.500 0.000 0.500 Al
0.000 0.000 0.500 Zn
0.500 0.500 0.238 Ag
0.500 0.500 0.762 Ag
```

Computed properties:
symmetry	P4/mmm, No. 123
magnetization	0.00	μB/f.u.
electronic total energy	-2.692	eV per atom
volume	138	Å³/f.u.


No. 5
A plane-wave DFT calculation with PBE was carried out for SrAlZn4Ag2 after structural relaxation.

POSCAR file:
```
SrAlZn4Ag2
1.0
2.214 1.278 9.526
-2.214 1.278 9.526
0.000 -2.556 9.526
Sr Al Zn Ag
1 1 4 2
Direct
0.000 0.000 0.000 Sr
0.500 0.500 0.500 Al
0.127 0.127 0.127 Zn
0.405 0.405 0.405 Zn
0.595 0.595 0.595 Zn
0.873 0.873 0.873 Zn
0.236 0.236 0.236 Ag
0.764 0.764 0.764 Ag
```

Computed properties:
symmetry	R-3m, No. 166
magnetization	0.00	μB/f.u.
electronic total energy	-2.099	eV per atom
volume	162	Å³/f.u.


No. 6
A plane-wave DFT calculation with PBE was carried out for SrAl2ZnAg after structural relaxation.

POSCAR file:
```
SrAl2ZnAg
1.0
4.400 0.000 0.000
0.000 4.403 0.000
0.000 0.000 11.291
Sr Al Zn Ag
2 4 2 2
Direct
0.000 0.000 0.000 Sr
0.500 0.500 0.500 Sr
0.000 0.000 0.620 Al
0.000 0.500 0.257 Al
0.500 0.000 0.757 Al
0.500 0.500 0.120 Al
0.000 0.000 0.389 Zn
0.500 0.500 0.889 Zn
0.000 0.500 0.749 Ag
0.500 0.000 0.249 Ag
```

Computed properties:
symmetry	Imm2, No. 44
magnetization	0.00	μB/f.u.
electronic total energy	-2.897	eV per atom
volume	109	Å³/f.u.


No. 7
A plane-wave DFT calculation with PBE was carried out for SrAlZn2Ag after structural relaxation.

POSCAR file:
```
SrAlZn2Ag
1.0
4.369 0.000 0.000
0.000 4.387 0.000
0.000 0.000 11.317
Sr Al Zn Ag
2 2 4 2
Direct
0.000 0.000 0.000 Sr
0.500 0.500 0.500 Sr
0.000 0.500 0.746 Al
0.500 0.000 0.246 Al
0.000 0.000 0.618 Zn
0.000 0.500 0.242 Zn
0.500 0.000 0.742 Zn
0.500 0.500 0.118 Zn
0.000 0.000 0.380 Ag
0.500 0.500 0.880 Ag
```

Computed properties:
symmetry	Imm2, No. 44
magnetization	0.00	μB/f.u.
electronic total energy	-2.393	eV per atom
volume	108	Å³/f.u.


No. 8
A plane-wave DFT calculation with PBE was carried out for SrAlZn2Ag4 after structural relaxation.

POSCAR file:
```
SrAlZn2Ag4
1.0
2.273 1.312 9.144
-2.273 1.312 9.144
0.000 -2.625 9.144
Sr Al Zn Ag
1 1 2 4
Direct
0.000 0.000 0.000 Sr
0.500 0.500 0.500 Al
0.243 0.243 0.243 Zn
0.757 0.757 0.757 Zn
0.134 0.134 0.134 Ag
0.406 0.406 0.406 Ag
0.594 0.594 0.594 Ag
0.866 0.866 0.866 Ag
```

Computed properties:
symmetry	R-3m, No. 166
magnetization	0.00	μB/f.u.
electronic total energy	-2.521	eV per atom
volume	164	Å³/f.u.